A geometry-optimized CaTiSe3 structure, computed with PBE.

abc: 4.9912 4.9912 4.9912
angles: 90.00 90.00 90.00
Closest atoms and distances in Å follow each position.
Sites, in units of the cell vectors:
Ca: 0.0000 0.0000 0.0000  12 Se 3.53
Ti: 0.5000 0.5000 0.5000  6 Se 2.50
Se: 0.0000 0.5000 0.5000  2 Ti 2.50
Se: 0.5000 0.0000 0.5000  2 Ti 2.50
Se: 0.5000 0.5000 0.0000  2 Ti 2.50

theoretical density = 4.3 g/cm³
calculated total energy = -5.20 eV/atom
formation energy (no corrections) = -1.13 eV per atom
SG = Pm-3m (221)